Entry 1:
Below is a relaxed PrNdFeCu crystal, with properties calculated at the PBE level.

Results
The density of states at the Fermi level comes out at 5.4 states/eV per cell. The calculation puts the formation energy at 0.1137 eV/atom. The calculation puts the density at 7.48 g/cm³. The space group is No. 216.

abc: 5.0277 5.0277 5.0277
angles: 60.00 60.00 60.00
Sites, in units of the cell vectors:
Pr  0.0000  0.0000  0.0000
Nd  0.5000  0.5000  0.5000
Fe  0.2500  0.2500  0.2500
Cu  0.7500  0.7500  0.7500

***

Entry 2:
Below is a relaxed Rb3Pa3GeN8 crystal, with properties calculated at the PBE level.

Results
The density of states at the Fermi level comes out at 12.3 states/eV per cell. The calculation puts the density at 6.54 g/cm³. The space group is No. 12. For the raw formation energy, the calculation gives -0.590 eV/atom.

abc: 7.1249 7.1249 7.9497
angles: 116.99 116.99 56.27
Sites, in units of the cell vectors:
Rb  0.0000  0.0000  0.0000
Rb  0.0000  0.5000  0.0000
Rb  0.5000  0.0000  0.0000
Pa  0.0000  0.5000  0.5000
Pa  0.5000  0.0000  0.5000
Pa  0.5000  0.5000  0.5000
Ge  0.0000  0.0000  0.5000
N  0.1939  0.7495  0.6420
N  0.2505  0.8061  0.3580
N  0.2593  0.2593  0.6806
N  0.2850  0.2850  0.3425
N  0.7150  0.7150  0.6575
N  0.7407  0.7407  0.3194
N  0.7495  0.1939  0.6420
N  0.8061  0.2505  0.3580

***

Entry 3:
Below is a relaxed Ca3In7Ir4 crystal, with properties calculated at the PBE level.

Results
The density of states at the Fermi level comes out at 6.8 states/eV per cell. The calculation puts the formation energy at -0.3316 eV/atom. The calculation puts the density at 8.89 g/cm³. The space group is No. 12.

abc: 8.6442 8.6442 10.0672
angles: 121.49 121.49 29.99
Sites, in units of the cell vectors:
Ca  0.0000  0.0000  0.0000
Ca  0.3063  0.3063  0.2935
Ca  0.6937  0.6937  0.7065
In  0.0000  0.0000  0.5000
In  0.1659  0.1659  0.4297
In  0.3131  0.3131  0.9693
In  0.4965  0.4965  0.7245
In  0.5035  0.5035  0.2755
In  0.6869  0.6869  0.0307
In  0.8341  0.8341  0.5703
Ir  0.1138  0.1138  0.8235
Ir  0.3348  0.3348  0.7223
Ir  0.6652  0.6652  0.2777
Ir  0.8862  0.8862  0.1765

***

Entry 4:
Below is a relaxed VCdOs crystal, with properties calculated at the PBE level.

Results
The density of states at the Fermi level comes out at 2.1 states/eV per cell. The calculation puts the relative energy among the computed polymorphs at 0 meV per atom. The calculation puts the formation energy at 0.1348 eV/atom. The calculation puts the density at 11.89 g/cm³. The space group is No. 107.

abc: 5.8350 5.8350 5.8350
angles: 150.05 150.05 42.87
Sites, in units of the cell vectors:
V  0.0000  0.0000  0.0000
Cd  0.6915  0.6915  0.0000
Os  0.3819  0.3819  0.0000

***

Entry 5:
Below is a relaxed Be4Al crystal, with properties calculated at the PBE level.

Results
The density of states at the Fermi level comes out at 1.6 states/eV per cell. The calculation puts the relative energy among the computed polymorphs at 443 meV per atom. The calculation puts the formation energy at 1.4319 eV/atom. The calculation puts the density at 1.35 g/cm³. The space group is No. 221.

abc: 4.2623 4.2623 4.2623
angles: 90.00 90.00 90.00
Sites, in units of the cell vectors:
Be  0.0000  0.0000  0.0000
Be  0.0000  0.5000  0.5000
Be  0.5000  0.0000  0.5000
Be  0.5000  0.5000  0.0000
Al  0.5000  0.5000  0.5000

***

Entry 6:
Below is a relaxed CeGa2Au crystal, with properties calculated at the PBE level.

Results
The density of states at the Fermi level comes out at 6.7 states/eV per cell. The calculation puts the formation energy at -0.3130 eV/atom. The calculation puts the density at 8.91 g/cm³. The space group is No. 38.

abc: 4.5068 4.4766 4.4766
angles: 79.43 90.00 90.00
Sites, in units of the cell vectors:
Ce  0.0000  0.0000  0.0000
Ga  0.0000  0.4980  0.4980
Ga  0.5000  0.3009  0.3009
Au  0.5000  0.6968  0.6968

***

Calculated values (Bohr magnetons per cell) of spin magnetization for the records, taken in order: 1.2; 0.6; 0.0; 0.8; 0.0; 0.7.
Calculated values (eV per cell) of electronic total energy for the records, taken in order: -21.7; -111.5; -65.3; -20.9; -11.5; -16.5.